[1]
Material: TaBOs2Ru
Method: DFT, PBE-GGA
State: relaxed

Computed properties:
Its space-group type is P4/mmm. The calculation puts the magnetic moment at 0.00 μB per cell. The calculation puts the volume at 13.717 Å³/atom. Its energy of formation from the pure elements is -0.22 eV per atom.

Lattice parameters (Å, degrees): 4.103 4.103 4.073 90.00 90.00 90.00
Element x y z (fractional)
Os (0.000, 0.500, 0.000)
B (0.000, 0.000, 0.000)
Os (0.500, 0.000, 0.000)
Ru (0.000, 0.000, 0.500)
Ta (0.500, 0.500, 0.500)

[2]
Material: PrDy3Y2Er6
Method: DFT, PBE-GGA
State: relaxed

Computed properties:
Its space-group type is C2/m. The calculation puts the magnetic moment at 0.00 μB per cell. The calculation puts the volume at 31.430 Å³/atom. Its energy of formation from the pure elements is 0.02 eV per atom.

Lattice parameters (Å, degrees): 6.135 6.135 11.743 94.98 94.98 119.95
Element x y z (fractional)
Y (0.667, 0.333, 0.000)
Pr (0.000, 0.000, 0.000)
Y (0.333, 0.667, 0.000)
Dy (0.167, 0.833, 0.500)
Er (0.915, 0.582, 0.748)
Dy (0.833, 0.167, 0.500)
Er (0.085, 0.418, 0.252)
Er (0.249, 0.249, 0.748)
Er (0.751, 0.751, 0.252)
Dy (0.500, 0.500, 0.500)
Er (0.582, 0.915, 0.748)
Er (0.418, 0.085, 0.252)

[3]
Material: MgNb3Bi
Method: DFT, PBE-GGA
State: relaxed

Computed properties:
Its space-group type is Pm-3m. The calculation puts the magnetic moment at 0.51 μB per cell. The calculation puts the volume at 22.527 Å³/atom. Its energy of formation from the pure elements is 1.46 eV per atom. The distance to the lowest polymorph of the same formula is 0 meV per atom.

Lattice parameters (Å, degrees): 4.829 4.829 4.829 90.00 90.00 90.00
Element x y z (fractional)
Nb (0.500, 0.000, 0.000)
Nb (0.000, 0.500, 0.000)
Mg (0.000, 0.000, 0.000)
Bi (0.500, 0.500, 0.500)
Nb (0.000, 0.000, 0.500)

[4]
Material: YSi2As
Method: DFT, PBE-GGA
State: relaxed

Computed properties:
Its space-group type is R-3m. The calculation puts the magnetic moment at 0.00 μB per cell. The calculation puts the volume at 20.524 Å³/atom. The uncorrected formation energy is -0.082 eV/atom.

Lattice parameters (Å, degrees): 5.350 5.350 5.350 49.76 49.76 49.76
Element x y z (fractional)
As (0.750, 0.750, 0.750)
Si (0.457, 0.457, 0.457)
Si (0.043, 0.043, 0.043)
Y (0.250, 0.250, 0.250)

[5]
Material: CsCdIn2Au4
Method: DFT, PBE-GGA
State: relaxed

Computed properties:
Its space-group type is R-3m. The calculation puts the magnetic moment at 0.00 μB per cell. The calculation puts the volume at 26.737 Å³/atom. Its energy of formation from the pure elements is -0.18 eV per atom.

Lattice parameters (Å, degrees): 4.715 4.715 11.439 78.11 78.11 60.00
Element x y z (fractional)
Cd (0.500, 0.500, 0.500)
Au (0.136, 0.136, 0.593)
Au (0.587, 0.587, 0.238)
Au (0.413, 0.413, 0.762)
In (0.236, 0.236, 0.292)
Au (0.864, 0.864, 0.407)
Cs (0.000, 0.000, 0.000)
In (0.764, 0.764, 0.708)

[6]
Material: Pm3Pt2O
Method: DFT, PBE-GGA
State: relaxed

Computed properties:
Its space-group type is Immm. The calculation puts the magnetic moment at 0.00 μB per cell. The calculation puts the volume at 23.453 Å³/atom. The uncorrected formation energy is -1.545 eV/atom.

Lattice parameters (Å, degrees): 3.845 4.730 8.316 106.52 103.37 90.00
Element x y z (fractional)
O (0.000, 0.000, 0.000)
Pt (0.351, 0.351, 0.701)
Pm (0.000, 0.500, 0.000)
Pt (0.649, 0.649, 0.299)
Pm (0.842, 0.842, 0.684)
Pm (0.158, 0.158, 0.316)

[7]
Material: SbTe2IN
Method: DFT, PBE-GGA
State: relaxed

Computed properties:
Its space-group type is P4/mmm. The calculation puts the magnetic moment at 0.00 μB per cell. The calculation puts the volume at 24.137 Å³/atom. The distance to the lowest polymorph of the same formula is 0 meV per atom. The uncorrected formation energy is 0.800 eV/atom.

Lattice parameters (Å, degrees): 5.009 5.009 4.810 90.00 90.00 90.00
Element x y z (fractional)
I (0.000, 0.000, 0.500)
N (0.000, 0.000, 0.000)
Te (0.500, 0.000, 0.000)
Te (0.000, 0.500, 0.000)
Sb (0.500, 0.500, 0.500)

[8]
Material: Ho2Ni3P4Ru
Method: DFT, PBE-GGA
State: relaxed

Computed properties:
Its space-group type is P-4m2. The calculation puts the magnetic moment at 0.00 μB per cell. The calculation puts the volume at 14.631 Å³/atom. Its energy of formation from the pure elements is -0.97 eV per atom.

Lattice parameters (Å, degrees): 3.969 3.969 9.288 90.00 90.00 90.00
Element x y z (fractional)
Ho (0.500, 0.000, 0.240)
P (0.500, 0.500, 0.000)
Ni (0.000, 0.500, 0.118)
P (0.000, 0.500, 0.360)
Ho (0.000, 0.500, 0.760)
Ni (0.000, 0.000, 0.500)
Ru (0.500, 0.500, 0.500)
P (0.000, 0.000, 0.000)
P (0.500, 0.000, 0.640)
Ni (0.500, 0.000, 0.882)

Q: magnetic moment of number 1 (TaBOs2Ru)?
A: 0.00 μB per cell

Q: What is the formula in the fifth record?
A: CsCdIn2Au4